The following is a DFT calculation (PBE) of a geometry-optimized RbY3Rh structure.

As for the uncorrected energy: -28.1 eV per cell. Its density of states at the Fermi level is 1.113 states/eV per atom. As for the space-group type: Pm-3m, No. 221.

Unit cell a=5.577 b=5.577 c=5.577 alpha=90.00 beta=90.00 gamma=90.00
Atoms (fractional coordinates):
Y (0.000, 0.500, 0.000)
Y (0.000, 0.000, 0.500)
Y (0.500, 0.000, 0.000)
Rh (0.000, 0.000, 0.000)
Rb (0.500, 0.500, 0.500)

***

The following is a DFT calculation (PBE) of a geometry-optimized HfCd2S4 structure.

As for the space-group type: P4_122, No. 91. The uncorrected formation energy comes out at -971 meV per atom.

Unit cell a=7.818 b=7.818 c=10.799 alpha=90.00 beta=90.00 gamma=90.00
Atoms (fractional coordinates):
Hf (0.000, 0.751, 0.500)
Hf (0.249, 0.000, 0.750)
Hf (0.751, 0.000, 0.250)
Hf (0.000, 0.249, 0.000)
Cd (0.747, 0.747, 0.875)
Cd (0.253, 0.747, 0.125)
Cd (0.747, 0.253, 0.625)
Cd (0.253, 0.253, 0.375)
Cd (0.746, 0.500, 0.250)
Cd (0.500, 0.254, 0.000)
Cd (0.500, 0.746, 0.500)
Cd (0.254, 0.500, 0.750)
S (0.233, 0.986, 0.514)
S (0.767, 0.986, 0.486)
S (0.014, 0.233, 0.764)
S (0.767, 0.014, 0.014)
S (0.235, 0.472, 0.999)
S (0.528, 0.235, 0.249)
S (0.472, 0.765, 0.749)
S (0.235, 0.528, 0.501)
S (0.765, 0.472, 0.001)
S (0.765, 0.528, 0.499)
S (0.472, 0.235, 0.751)
S (0.528, 0.765, 0.251)
S (0.986, 0.233, 0.236)
S (0.233, 0.014, 0.986)
S (0.986, 0.767, 0.264)
S (0.014, 0.767, 0.736)

***

The following is a DFT calculation (PBE) of a geometry-optimized RbTeS2N structure.

Its density of states at the Fermi level is 1.528 states/eV per atom. As for the space-group type: P4/mmm, No. 123. The uncorrected formation energy comes out at 2031 meV per atom.

Unit cell a=5.600 b=5.600 c=4.240 alpha=90.00 beta=90.00 gamma=90.00
Atoms (fractional coordinates):
S (0.000, 0.500, 0.000)
S (0.500, 0.000, 0.000)
Te (0.500, 0.500, 0.500)
Rb (0.000, 0.000, 0.000)
N (0.000, 0.000, 0.500)

***

The following is a DFT calculation (PBE) of a geometry-optimized SiAgPd3 structure.

Its density of states at the Fermi level is 1.348 states/eV per atom. As for the space-group type: Pm-3m, No. 221. The uncorrected formation energy comes out at 1276 meV per atom.

Unit cell a=4.877 b=4.877 c=4.877 alpha=90.00 beta=90.00 gamma=90.00
Atoms (fractional coordinates):
Si (0.500, 0.500, 0.500)
Pd (0.000, 0.500, 0.000)
Pd (0.000, 0.000, 0.500)
Pd (0.500, 0.000, 0.000)
Ag (0.000, 0.000, 0.000)

***

The following is a DFT calculation (PBE) of a geometry-optimized VCrAs structure.

As for the uncorrected energy: -23.4 eV per cell. Its density of states at the Fermi level is 0.737 states/eV per atom. As for the space-group type: P3m1, No. 156.

Unit cell a=2.722 b=4.152 c=4.152 alpha=120.00 beta=90.00 gamma=90.00
Atoms (fractional coordinates):
Cr (0.228, 0.333, 0.667)
As (0.182, 0.000, 0.000)
V (0.590, 0.667, 0.333)

***

The following is a DFT calculation (PBE) of a geometry-optimized ScTa2Al structure.

As for the uncorrected energy: -33.8 eV per cell. Its density of states at the Fermi level is 0.863 states/eV per atom. As for the space-group type: C2/m, No. 12.

Unit cell a=5.564 b=5.564 c=2.840 alpha=81.18 beta=81.18 gamma=118.21
Atoms (fractional coordinates):
Sc (0.000, 0.500, 0.500)
Al (0.500, 0.000, 0.500)
Ta (0.000, 0.000, 0.000)
Ta (0.500, 0.500, 0.000)

***

The following is a DFT calculation (PBE) of a geometry-optimized LaCdB structure.

As for the uncorrected energy: -48.3 eV per cell. Its density of states at the Fermi level is 0.534 states/eV per atom. As for the space-group type: Pnma, No. 62.

Unit cell a=10.189 b=4.058 c=6.686 alpha=90.00 beta=90.00 gamma=90.00
Atoms (fractional coordinates):
B (0.895, 0.250, 0.296)
B (0.605, 0.750, 0.796)
B (0.105, 0.750, 0.704)
B (0.395, 0.250, 0.204)
Cd (0.062, 0.250, 0.883)
Cd (0.438, 0.750, 0.383)
Cd (0.938, 0.750, 0.117)
Cd (0.562, 0.250, 0.617)
La (0.158, 0.250, 0.432)
La (0.342, 0.750, 0.932)
La (0.842, 0.750, 0.568)
La (0.658, 0.250, 0.068)

***

The following is a DFT calculation (PBE) of a geometry-optimized ZrCdMo2 structure.

As for the uncorrected energy: -30.6 eV per cell. Its density of states at the Fermi level is 0.730 states/eV per atom. As for the space-group type: Cmm2, No. 35.

Unit cell a=2.885 b=2.885 c=9.562 alpha=90.00 beta=90.00 gamma=110.91
Atoms (fractional coordinates):
Cd (0.500, 0.500, 0.763)
Mo (0.000, 0.000, 0.023)
Mo (0.500, 0.500, 0.234)
Zr (0.000, 0.000, 0.480)

***

The following is a DFT calculation (PBE) of a geometry-optimized Li4NiSn structure.

As for the uncorrected energy: -37.6 eV per cell. Its density of states at the Fermi level is 0.329 states/eV per atom. As for the space-group type: C2/c, No. 15.

Unit cell a=4.519 b=5.178 c=8.241 alpha=71.69 beta=89.98 gamma=89.94
Atoms (fractional coordinates):
Li (0.751, 0.282, 0.919)
Li (0.749, 0.799, 0.919)
Li (0.750, 0.961, 0.585)
Li (0.250, 0.039, 0.415)
Li (0.250, 0.547, 0.415)
Li (0.251, 0.201, 0.081)
Li (0.750, 0.453, 0.585)
Li (0.249, 0.718, 0.081)
Ni (0.250, 0.120, 0.760)
Ni (0.750, 0.880, 0.240)
Sn (0.750, 0.373, 0.254)
Sn (0.250, 0.627, 0.746)

***

The following is a DFT calculation (PBE) of a geometry-optimized CaRe2Se structure.

Its density of states at the Fermi level is 0.810 states/eV per atom. As for the space-group type: I4/mmm, No. 139. The uncorrected formation energy comes out at 480 meV per atom.

Unit cell a=5.915 b=5.915 c=5.915 alpha=143.07 beta=143.07 gamma=53.22
Atoms (fractional coordinates):
Re (0.000, 0.000, 0.000)
Re (0.500, 0.500, 0.000)
Ca (0.750, 0.250, 0.500)
Se (0.250, 0.750, 0.500)

***

The following is a DFT calculation (PBE) of a geometry-optimized LiSc4In structure.

As for the uncorrected energy: -28.8 eV per cell. Its density of states at the Fermi level is 0.802 states/eV per atom. As for the space-group type: F-43m, No. 216.

Unit cell a=5.908 b=5.908 c=5.908 alpha=60.00 beta=60.00 gamma=60.00
Atoms (fractional coordinates):
Li (0.000, 0.000, 0.000)
Sc (0.872, 0.376, 0.376)
Sc (0.376, 0.376, 0.872)
Sc (0.376, 0.872, 0.376)
Sc (0.376, 0.376, 0.376)
In (0.750, 0.750, 0.750)

***

The following is a DFT calculation (PBE) of a geometry-optimized Ta2AlInCu structure.

As for the uncorrected energy: -23.9 eV per cell. Its density of states at the Fermi level is 1.284 states/eV per atom. As for the space-group type: P4/mmm, No. 123.

Unit cell a=5.097 b=4.689 c=5.097 alpha=90.00 beta=90.00 gamma=90.00
Atoms (fractional coordinates):
In (0.000, 0.000, 0.000)
Al (0.000, 0.500, 0.000)
Cu (0.500, 0.500, 0.500)
Ta (0.000, 0.000, 0.500)
Ta (0.500, 0.000, 0.000)

***

The following is a DFT calculation (PBE) of a geometry-optimized Rb2ReHgS4 structure.

Its density of states at the Fermi level is 0.511 states/eV per atom. As for the space-group type: I-4, No. 82. The uncorrected formation energy comes out at -612 meV per atom.

Unit cell a=7.147 b=7.147 c=7.147 alpha=110.78 beta=108.82 gamma=108.82
Atoms (fractional coordinates):
Rb (0.500, 0.750, 0.250)
Rb (0.000, 0.000, 0.000)
Re (0.000, 0.500, 0.500)
Hg (0.500, 0.250, 0.750)
S (0.690, 0.488, 0.504)
S (0.016, 0.202, 0.512)
S (0.984, 0.496, 0.187)
S (0.310, 0.813, 0.798)

***

The following is a DFT calculation (PBE) of a geometry-optimized Pm2Cr2Ni15 structure.

As for the uncorrected energy: -118.7 eV per cell. Its density of states at the Fermi level is 1.361 states/eV per atom. As for the space-group type: R-3m, No. 166.

Unit cell a=6.303 b=6.303 c=6.303 alpha=82.87 beta=82.87 gamma=82.87
Atoms (fractional coordinates):
Pm (0.341, 0.341, 0.341)
Pm (0.659, 0.659, 0.659)
Cr (0.080, 0.080, 0.080)
Cr (0.920, 0.920, 0.920)
Ni (0.500, 0.000, 0.000)
Ni (0.000, 0.000, 0.500)
Ni (0.000, 0.500, 0.000)
Ni (0.000, 0.700, 0.300)
Ni (0.700, 0.300, 0.000)
Ni (0.300, 0.000, 0.700)
Ni (0.300, 0.700, 0.000)
Ni (0.700, 0.000, 0.300)
Ni (0.000, 0.300, 0.700)
Ni (0.153, 0.660, 0.660)
Ni (0.660, 0.660, 0.153)
Ni (0.660, 0.153, 0.660)
Ni (0.847, 0.340, 0.340)
Ni (0.340, 0.340, 0.847)
Ni (0.340, 0.847, 0.340)

***

The following is a DFT calculation (PBE) of a geometry-optimized Na2SnPb structure.

As for the uncorrected energy: -10.8 eV per cell. Its density of states at the Fermi level is 0.014 states/eV per atom. As for the space-group type: Fm-3m, No. 225.

Unit cell a=5.365 b=5.365 c=5.365 alpha=60.00 beta=60.00 gamma=60.00
Atoms (fractional coordinates):
Pb (0.500, 0.500, 0.500)
Na (0.250, 0.250, 0.250)
Na (0.750, 0.750, 0.750)
Sn (0.000, 0.000, 0.000)

***

The following is a DFT calculation (PBE) of a geometry-optimized Sc2ReSi structure.

Its density of states at the Fermi level is 1.193 states/eV per atom. As for the space-group type: F-43m, No. 216. The uncorrected formation energy comes out at -220 meV per atom.

Unit cell a=4.534 b=4.534 c=4.534 alpha=60.00 beta=60.00 gamma=60.00
Atoms (fractional coordinates):
Re (0.500, 0.500, 0.500)
Sc (0.000, 0.000, 0.000)
Sc (0.250, 0.250, 0.250)
Si (0.750, 0.750, 0.750)

***

The following is a DFT calculation (PBE) of a geometry-optimized Na6Cd5Au structure.

As for the uncorrected energy: -17.1 eV per cell. Its density of states at the Fermi level is 0.393 states/eV per atom. As for the space-group type: C2/m, No. 12.

Unit cell a=4.831 b=8.680 c=8.680 alpha=107.29 beta=106.33 gamma=106.33
Atoms (fractional coordinates):
Na (0.229, 0.068, 0.389)
Na (0.771, 0.611, 0.932)
Na (0.708, 0.208, 0.208)
Na (0.292, 0.792, 0.792)
Na (0.229, 0.389, 0.068)
Na (0.771, 0.932, 0.611)
Au (0.000, 0.000, 0.000)
Cd (0.500, 0.195, 0.805)
Cd (0.000, 0.352, 0.648)
Cd (0.500, 0.500, 0.500)
Cd (0.000, 0.648, 0.352)
Cd (0.500, 0.805, 0.195)

***

The following is a DFT calculation (PBE) of a geometry-optimized TeRuSe3 structure.

Its density of states at the Fermi level is 1.610 states/eV per atom. As for the space-group type: Pm-3m, No. 221. The uncorrected formation energy comes out at 372 meV per atom.

Unit cell a=4.879 b=4.879 c=4.879 alpha=90.00 beta=90.00 gamma=90.00
Atoms (fractional coordinates):
Ru (0.000, 0.000, 0.000)
Te (0.500, 0.500, 0.500)
Se (0.000, 0.500, 0.000)
Se (0.000, 0.000, 0.500)
Se (0.500, 0.000, 0.000)

***

The following is a DFT calculation (PBE) of a geometry-optimized CsLi2Se2 structure.

Its density of states at the Fermi level is 0.629 states/eV per atom. As for the space-group type: I4/mmm, No. 139. The uncorrected formation energy comes out at -924 meV per atom.

Unit cell a=5.096 b=5.096 c=6.923 alpha=68.40 beta=68.40 gamma=90.00
Atoms (fractional coordinates):
Cs (0.000, 0.000, 0.000)
Se (0.750, 0.250, 0.500)
Se (0.250, 0.750, 0.500)
Li (0.288, 0.288, 0.425)
Li (0.712, 0.712, 0.575)

***

The following is a DFT calculation (PBE) of a geometry-optimized TaCrGe3 structure.

As for the uncorrected energy: -31.5 eV per cell. Its density of states at the Fermi level is 0.520 states/eV per atom. As for the space-group type: Pm-3m, No. 221.

Unit cell a=5.003 b=5.003 c=5.003 alpha=90.00 beta=90.00 gamma=90.00
Atoms (fractional coordinates):
Cr (0.500, 0.500, 0.500)
Ge (0.000, 0.500, 0.000)
Ge (0.000, 0.000, 0.500)
Ge (0.500, 0.000, 0.000)
Ta (0.000, 0.000, 0.000)